Material: FeCu5O8
Method: DFT, GGA+U
State: relaxed

It has space group F-43m (No. 216), with a = 8.381 Å, b = 8.381 Å, c = 8.381 Å, α = 90.00°, β = 90.00° and γ = 90.00°. The inequivalent atoms are Fe at (0.000, 0.000, 0.000), Cu at (0.124, 0.124, 0.376), Cu at (0.250, 0.250, 0.750), O at (0.116, 0.116, 0.616) and O at (0.133, 0.133, 0.133).

The raw total energy is -5.279 eV per atom. The calculation puts the total moment at 11.0 μB/f.u.